Below is an optimized crystal structure of La5Pm3S8, with properties calculated at the PBE level.

a b c (Å): 8.2203 8.2203 8.2219
angles (deg): 60.01 60.01 60.00
Closest atoms and distances in Å follow each position.
Positions (direct):
La (0.0000, 0.5000, 0.0000)  6 S 2.94
La (0.5000, 0.5000, 0.5000)  6 S 2.91
La (0.5000, 0.0000, 0.0000)  6 S 2.94
La (0.0000, 0.0000, 0.0000)  6 S 2.91
La (0.5000, 0.5000, 0.0000)  6 S 2.94
S (0.7500, 0.2443, 0.2557)  2 Pm 2.87, 4 La 2.91-2.94
S (0.7500, 0.7500, 0.2557)  2 Pm 2.87, 4 La 2.91-2.94
S (0.2500, 0.2500, 0.7443)  2 Pm 2.87, 4 La 2.91-2.94
S (0.7527, 0.7527, 0.7419)  3 Pm 2.88, 3 La 2.94
S (0.7557, 0.2500, 0.7443)  2 Pm 2.87, 4 La 2.91-2.94
S (0.2500, 0.7557, 0.7443)  2 Pm 2.87, 4 La 2.91-2.94
S (0.2443, 0.7500, 0.2557)  2 Pm 2.87, 4 La 2.91-2.94
S (0.2473, 0.2473, 0.2581)  3 Pm 2.88, 3 La 2.94
Pm (0.5000, 0.0000, 0.5000)  6 S 2.87-2.88
Pm (0.0000, 0.5000, 0.5000)  6 S 2.87-2.88
Pm (0.0000, 0.0000, 0.5000)  6 S 2.87-2.88

Results
formation energy (no corrections)	-2118	meV/atom
size of the total moment	0.000	μB/atom



Below is an optimized crystal structure of Ac2Mg3Al2, with properties calculated at the PBE level.

a b c (Å): 4.8536 6.2610 7.3118
angles (deg): 104.41 90.00 112.81
Closest atoms and distances in Å follow each position.
Positions (direct):
Al (0.0927, 0.1854, 0.6792)  3 Mg 2.83-2.92, 1 Al 2.90
Al (0.9073, 0.8146, 0.3208)  3 Mg 2.83-2.92, 1 Al 2.90
Ac (0.6218, 0.2437, 0.3657)  5 Al 3.40-3.42, 4 Mg 3.60-3.63
Ac (0.3782, 0.7563, 0.6343)  5 Al 3.40-3.42, 4 Mg 3.60-3.63
Mg (0.3058, 0.6116, 0.1191)  2 Al 2.92, 2 Mg 3.06
Mg (0.6942, 0.3884, 0.8809)  2 Al 2.92, 2 Mg 3.06
Mg (0.0000, 0.0000, 0.0000)  2 Al 2.83

Results
formation energy	-0.16	eV/atom
size of the total moment	0.000	μB/atom



Below is an optimized crystal structure of Li2TbBO4, with properties calculated at the PBE level.

a b c (Å): 3.1295 5.3769 9.4689
angles (deg): 90.00 90.00 106.92
Closest atoms and distances in Å follow each position.
Positions (direct):
O (0.3949, 0.7899, 0.7500)  2 B 1.93, 2 Li 2.01
O (0.2838, 0.5677, 0.1288)  1 B 1.35
O (0.6051, 0.2101, 0.2500)  2 B 1.93, 2 Li 2.01
O (0.0000, 0.0000, 0.0000)  4 Li 2.02
O (0.2838, 0.5677, 0.3712)  1 B 1.35
O (0.0000, 0.0000, 0.5000)  4 Li 2.02
O (0.7162, 0.4323, 0.6288)  1 B 1.35
O (0.7162, 0.4323, 0.8712)  1 B 1.35
Li (0.6195, 0.2391, 0.0381)  4 O 1.87-2.02
Li (0.6195, 0.2391, 0.4619)  4 O 1.87-2.02
Li (0.3805, 0.7609, 0.5381)  4 O 1.87-2.02
Li (0.3805, 0.7609, 0.9619)  4 O 1.87-2.02
Tb (0.0648, 0.1296, 0.7500)  8 O 2.35-2.49
Tb (0.9352, 0.8704, 0.2500)  8 O 2.35-2.49
B (0.7847, 0.5694, 0.7500)  2 O 1.35
B (0.2153, 0.4306, 0.2500)  2 O 1.35

Results
formation energy (no corrections)	-2358	meV/atom
size of the total moment	0.000	μB/atom



Below is an optimized crystal structure of BPdSeN2, with properties calculated at the PBE level.

a b c (Å): 3.2935 3.2935 7.7932
angles (deg): 90.00 90.00 90.00
Closest atoms and distances in Å follow each position.
Positions (direct):
N (0.0000, 0.5000, 0.0000)  2 B 1.65
N (0.5000, 0.0000, 0.0000)  2 B 1.65
Se (0.0000, 0.0000, 0.5000)  4 Pd 2.33
B (0.0000, 0.0000, 0.0000)  4 N 1.65
Pd (0.5000, 0.5000, 0.5000)  4 Se 2.33

Results
excess energy over the best structure of this formula in the dataset	0.0000	eV per atom
formation energy (no corrections)	1178	meV/atom
size of the total moment	0.066	μB/atom



Below is an optimized crystal structure of Li4PrAl4, with properties calculated at the PBE level.

a b c (Å): 4.6138 8.7977 8.7977
angles (deg): 90.00 90.00 90.00
Closest atoms and distances in Å follow each position.
Positions (direct):
Li (0.0003, 0.7379, 0.6450)  5 Al 2.66-2.95, 2 Li 2.96-2.97
Li (0.0003, 0.2621, 0.3550)  5 Al 2.66-2.95, 2 Li 2.96-2.97
Li (0.9997, 0.3550, 0.7379)  5 Al 2.66-2.95, 2 Li 2.96-2.97
Li (0.5003, 0.8550, 0.2379)  5 Al 2.66-2.95, 2 Li 2.96-2.97
Li (0.9997, 0.6450, 0.2621)  5 Al 2.66-2.95, 2 Li 2.96-2.97
Li (0.4997, 0.2379, 0.1450)  5 Al 2.66-2.95, 2 Li 2.96-2.97
Li (0.5003, 0.1450, 0.7621)  5 Al 2.66-2.95, 2 Li 2.96-2.97
Li (0.4997, 0.7621, 0.8550)  5 Al 2.66-2.95, 2 Li 2.96-2.97
Al (0.9997, 0.6284, 0.9268)  1 Al 2.60, 3 Li 2.66-2.67
Al (0.0003, 0.0732, 0.6284)  1 Al 2.60, 3 Li 2.66-2.67
Al (0.4997, 0.5732, 0.1284)  1 Al 2.60, 3 Li 2.66-2.67
Al (0.0003, 0.9268, 0.3716)  1 Al 2.60, 3 Li 2.66-2.67
Al (0.5003, 0.8716, 0.5732)  1 Al 2.60, 3 Li 2.66-2.67
Al (0.5003, 0.1284, 0.4268)  1 Al 2.60, 3 Li 2.66-2.67
Al (0.4997, 0.4268, 0.8716)  1 Al 2.60, 3 Li 2.66-2.67
Al (0.9997, 0.3716, 0.0732)  1 Al 2.60, 3 Li 2.66-2.67
Pr (0.0000, 0.0000, 0.0000)  4 Al 3.33, 8 Li 3.37
Pr (0.5000, 0.5000, 0.5000)  4 Al 3.33, 8 Li 3.37

Results
formation energy	-0.07	eV/atom
size of the total moment	0.000	μB/atom



Below is an optimized crystal structure of CaSbAu2, with properties calculated at the PBE level.

a b c (Å): 4.7501 3.4689 5.7726
angles (deg): 89.99 90.00 90.00
Closest atoms and distances in Å follow each position.
Positions (direct):
Ca (0.5000, 0.2500, 0.2500)  8 Au 3.24, 4 Sb 3.37, 2 Ca 3.47
Au (0.0000, 0.7500, 0.4858)  1 Au 2.72, 2 Sb 2.82
Au (0.0000, 0.7500, 0.0142)  1 Au 2.72, 2 Sb 2.82
Sb (0.5000, 0.7500, 0.7500)  4 Au 2.82

Results
formation energy (no corrections)	-553	meV/atom
size of the total moment	0.000	μB/atom



Repeat the fifth record exactly.
Below is an optimized crystal structure of Li4PrAl4, with properties calculated at the PBE level.

a b c (Å): 4.6138 8.7977 8.7977
angles (deg): 90.00 90.00 90.00
Closest atoms and distances in Å follow each position.
Positions (direct):
Li (0.0003, 0.7379, 0.6450)  5 Al 2.66-2.95, 2 Li 2.96-2.97
Li (0.0003, 0.2621, 0.3550)  5 Al 2.66-2.95, 2 Li 2.96-2.97
Li (0.9997, 0.3550, 0.7379)  5 Al 2.66-2.95, 2 Li 2.96-2.97
Li (0.5003, 0.8550, 0.2379)  5 Al 2.66-2.95, 2 Li 2.96-2.97
Li (0.9997, 0.6450, 0.2621)  5 Al 2.66-2.95, 2 Li 2.96-2.97
Li (0.4997, 0.2379, 0.1450)  5 Al 2.66-2.95, 2 Li 2.96-2.97
Li (0.5003, 0.1450, 0.7621)  5 Al 2.66-2.95, 2 Li 2.96-2.97
Li (0.4997, 0.7621, 0.8550)  5 Al 2.66-2.95, 2 Li 2.96-2.97
Al (0.9997, 0.6284, 0.9268)  1 Al 2.60, 3 Li 2.66-2.67
Al (0.0003, 0.0732, 0.6284)  1 Al 2.60, 3 Li 2.66-2.67
Al (0.4997, 0.5732, 0.1284)  1 Al 2.60, 3 Li 2.66-2.67
Al (0.0003, 0.9268, 0.3716)  1 Al 2.60, 3 Li 2.66-2.67
Al (0.5003, 0.8716, 0.5732)  1 Al 2.60, 3 Li 2.66-2.67
Al (0.5003, 0.1284, 0.4268)  1 Al 2.60, 3 Li 2.66-2.67
Al (0.4997, 0.4268, 0.8716)  1 Al 2.60, 3 Li 2.66-2.67
Al (0.9997, 0.3716, 0.0732)  1 Al 2.60, 3 Li 2.66-2.67
Pr (0.0000, 0.0000, 0.0000)  4 Al 3.33, 8 Li 3.37
Pr (0.5000, 0.5000, 0.5000)  4 Al 3.33, 8 Li 3.37

Results
formation energy	-0.07	eV/atom
size of the total moment	0.000	μB/atom